Entry from Alexandria: a geometry-optimized SrTmSnPb structure (PBE-GGA).

Properties
total DFT energy (no corrections)	-3.88	eV/atom
space-group type	F-43m
spin magnetization	0.00	μB/f.u.
energy relative to the elements	-418	meV per atom
density	8.0	Mg/m³

The structure in POSCAR format:
```
SrTmSnPb
1.0
-2.436 4.108 -2.822
-5.527 0.481 0.018
-2.411 4.187 2.725
Pb Sr Tm Sn
1 1 1 1
Direct
0.750 0.750 0.750
0.500 0.500 0.500
0.000 0.000 0.000
0.250 0.250 0.250
```